## Ac2TmGe3Au4 (GGA-PBE)

Data for crystalline Ac2TmGe3Au4 at its relaxed geometry.

POSCAR file:
```
Ac2TmGe3Au4
1.0
4.498 0.000 0.000
0.000 4.498 0.000
0.000 0.000 11.779
Ac Tm Ge Au
2 1 3 4
Direct
0.500 0.000 0.221
0.000 0.500 0.779
0.500 0.500 0.500
0.000 0.000 0.500
0.500 0.000 0.873
0.000 0.500 0.127
0.500 0.500 0.000
0.000 0.000 0.000
0.500 0.000 0.652
0.000 0.500 0.348
```

Output
Uncorrected energy (eV/atom): -4.631

***

## Ac2YGe4Au3 (GGA-PBE)

Data for crystalline Ac2YGe4Au3 at its relaxed geometry.

POSCAR file:
```
Ac2YGe4Au3
1.0
-2.931 -1.724 -3.081
3.513 -1.815 -2.327
-0.851 -9.499 6.124
Ac Y Ge Au
2 1 4 3
Direct
0.500 0.000 0.230
0.000 0.500 0.770
0.500 0.500 0.500
0.500 0.500 0.000
0.000 0.000 0.000
0.500 0.000 0.650
0.000 0.500 0.350
0.000 0.000 0.500
0.500 0.000 0.880
0.000 0.500 0.120
```

Output
Uncorrected energy (eV/atom): -4.976

***

## AcYGe2Au2 (GGA-PBE)

Data for crystalline AcYGe2Au2 at its relaxed geometry.

POSCAR file:
```
AcYGe2Au2
1.0
4.514 0.000 0.000
-2.257 3.909 0.000
0.000 0.000 8.077
Ac Y Ge Au
1 1 2 2
Direct
0.000 0.000 0.000
0.000 0.000 0.500
0.667 0.333 0.260
0.333 0.667 0.740
0.667 0.333 0.711
0.333 0.667 0.289
```

Output
Uncorrected energy (eV/atom): -5.226

***

## AcZnGeAu6 (GGA-PBE)

Data for crystalline AcZnGeAu6 at its relaxed geometry.

POSCAR file:
```
AcZnGeAu6
1.0
-2.920 -5.307 4.539
-2.463 -4.476 -6.817
8.014 1.963 1.139
Ac Zn Ge Au
2 2 2 12
Direct
0.707 0.457 0.414
0.293 0.543 0.586
0.500 0.000 0.500
0.000 0.000 0.500
0.500 0.500 0.000
0.500 0.000 0.000
0.606 0.856 0.213
0.012 0.262 0.024
0.933 0.120 0.246
0.313 0.626 0.246
0.313 0.120 0.246
0.933 0.626 0.246
0.394 0.144 0.787
0.988 0.738 0.976
0.067 0.880 0.754
0.687 0.374 0.754
0.687 0.880 0.754
0.067 0.374 0.754
```

Output
Uncorrected energy (eV/atom): -3.535

***

## Ac2ZnGe3Au4 (GGA-PBE)

Data for crystalline Ac2ZnGe3Au4 at its relaxed geometry.

POSCAR file:
```
Ac2ZnGe3Au4
1.0
4.556 0.000 0.000
0.000 4.556 0.000
0.000 0.000 10.740
Ac Zn Ge Au
2 1 3 4
Direct
0.500 0.000 0.245
0.000 0.500 0.755
0.500 0.500 0.500
0.000 0.000 0.500
0.500 0.000 0.867
0.000 0.500 0.133
0.500 0.500 0.000
0.000 0.000 0.000
0.500 0.000 0.627
0.000 0.500 0.373
```

Output
Uncorrected energy (eV/atom): -4.259

***

## Ac3ZnGe2Au6 (GGA-PBE)

Data for crystalline Ac3ZnGe2Au6 at its relaxed geometry.

POSCAR file:
```
Ac3ZnGe2Au6
1.0
-0.905 -6.195 -2.081
-0.800 1.487 6.378
-7.900 1.614 -1.367
Ac Zn Ge Au
3 1 2 6
Direct
0.333 0.667 0.666
0.667 0.333 0.334
0.000 0.000 0.000
0.000 0.000 0.500
0.667 0.333 0.931
0.333 0.667 0.069
0.643 0.821 0.305
0.179 0.357 0.305
0.179 0.821 0.305
0.821 0.643 0.695
0.357 0.179 0.695
0.821 0.179 0.695
```

Output
Uncorrected energy (eV/atom): -4.069

***

## Ac2ZnGe4Au3 (GGA-PBE)

Data for crystalline Ac2ZnGe4Au3 at its relaxed geometry.

POSCAR file:
```
Ac2ZnGe4Au3
1.0
-1.188 1.642 -4.086
-2.646 -3.649 -0.697
-8.238 5.123 4.455
Ac Zn Ge Au
2 1 4 3
Direct
0.500 0.000 0.252
0.000 0.500 0.748
0.500 0.500 0.500
0.500 0.500 0.000
0.000 0.000 0.000
0.500 0.000 0.629
0.000 0.500 0.371
0.000 0.000 0.500
0.500 0.000 0.870
0.000 0.500 0.130
```

Output
Uncorrected energy (eV/atom): -4.363

***

## Ac2ZnGeAu6 (GGA-PBE)

Data for crystalline Ac2ZnGeAu6 at its relaxed geometry.

POSCAR file:
```
Ac2ZnGeAu6
1.0
7.059 -0.366 -1.281
-0.314 6.947 1.171
2.510 4.142 5.132
Ac Zn Ge Au
2 1 1 6
Direct
0.276 0.746 0.469
0.724 0.254 0.531
0.500 0.500 0.000
0.000 0.000 0.000
0.270 0.766 0.993
0.897 0.747 0.849
0.269 0.264 0.495
0.730 0.234 0.007
0.103 0.253 0.151
0.731 0.736 0.505
```

Output
Uncorrected energy (eV/atom): -3.883